# 1
Compound: TiCd2Ir2
Source: Alexandria
Functional: PBE
Structure: relaxed

```
TiCd2Ir2
1.0
6.522 0.000 0.000
0.000 6.522 0.000
0.000 0.000 4.363
Ir Cd Ti
4 4 2
Direct
0.135 0.365 0.000
0.865 0.635 0.000
0.365 0.865 0.000
0.635 0.135 0.000
0.172 0.672 0.500
0.828 0.328 0.500
0.672 0.828 0.500
0.328 0.172 0.500
0.500 0.500 0.000
0.000 0.000 0.000
```

Summary:
DOS at the Fermi energy, states/eV/cell: 5.12
ΔH_f (0 K), eV per formula unit: -0.508


# 2
Compound: Rb3Tl2Br7
Source: Alexandria
Functional: PBE
Structure: relaxed

```
Rb3Tl2Br7
1.0
-2.555 -3.782 3.442
5.223 -1.057 2.716
-5.363 10.866 7.958
Br Tl Rb
7 2 3
Direct
0.500 0.101 0.203
0.000 0.000 0.000
0.000 0.400 0.800
0.000 0.793 0.587
0.500 0.899 0.797
0.000 0.600 0.200
0.000 0.207 0.413
0.000 0.895 0.790
0.000 0.105 0.210
0.500 0.500 0.000
0.500 0.320 0.640
0.500 0.680 0.360
```

Summary:
DOS at the Fermi energy, states/eV/cell: 2.32
Raw formation energy, meV per atom: -1134
Energy above the most stable polymorph in this dataset, meV/atom: 24